# 1
Crystalline MnP3 at its relaxed geometry. Source: Alexandria via LeMat-Bulk, functional PBE-GGA.

Geometry as POSCAR:
```
MnP3
1.0
-2.1762 4.3606 1.1076
0.0726 -0.8300 3.4104
7.3634 1.8820 0.3013
Mn P
2 6
Direct
0.1388 0.0000 0.4749
0.1388 0.5000 0.9749
0.4538 0.0000 0.0302
0.4538 0.5000 0.5302
0.1606 0.0000 0.7694
0.1606 0.5000 0.2694
0.8549 0.0000 0.9603
0.8549 0.5000 0.4603
```

Output
Distance to the lowest polymorph of the same formula: 128.7 meV per atom
ΔE_f: -30.5 meV per atom
E_tot: -6.380 eV per atom
Density of states at the Fermi level: 4.14 states/eV/cell

***

# 2
Crystalline K5OsCl2O4 at its relaxed geometry. Source: Alexandria via LeMat-Bulk, functional PBE-GGA.

Geometry as POSCAR:
```
K5OsCl2O4
1.0
6.8758 0.0000 0.0000
-3.4379 4.9400 0.0000
0.0000 0.0000 8.4196
K Os Cl O
5 1 2 4
Direct
0.0944 0.3819 0.2021
0.4871 0.0000 0.5000
0.0944 0.3819 0.7979
0.7126 0.6181 0.7979
0.7126 0.6181 0.2021
0.4199 0.0000 0.0000
0.9541 0.5858 0.5000
0.3683 0.4142 0.5000
0.5718 0.0000 0.1763
0.5718 0.0000 0.8237
0.3369 0.2551 0.0000
0.0818 0.7449 0.0000
```

Output
Uncorrected formation energy: -1458 meV per atom
E_tot: -4.812 eV per atom
Density of states at the Fermi level: 0.26 states/eV/cell

***

# 3
Crystalline Ho2RuN at its relaxed geometry. Source: Alexandria via LeMat-Bulk, functional PBE-GGA.

Geometry as POSCAR:
```
Ho2RuN
1.0
3.3383 0.0000 0.0000
1.6692 2.8911 0.0000
1.6692 0.9637 7.8284
Ru Ho N
1 2 1
Direct
0.0000 0.0000 0.0000
0.1082 0.1082 0.6753
0.8918 0.8918 0.3247
0.5000 0.5000 0.5000
```

Output
Uncorrected formation energy: -370 meV per atom
E_tot: -7.059 eV per atom
Density of states at the Fermi level: 3.12 states/eV/cell

***

# 4
Crystalline ReSb3Rh at its relaxed geometry. Source: Alexandria via LeMat-Bulk, functional PBE-GGA.

Geometry as POSCAR:
```
ReSb3Rh
1.0
-1.4954 2.0380 -4.4349
-4.8014 0.2187 1.7195
0.8765 4.6751 1.8528
Re Rh Sb
1 1 3
Direct
0.0000 0.0000 0.0000
0.5000 0.5000 0.5000
0.0000 0.5000 0.0000
0.0000 0.0000 0.5000
0.5000 0.0000 0.0000
```

Output
Uncorrected formation energy: 993 meV per atom
Distance to the lowest polymorph of the same formula: 0.0 meV per atom
E_tot: -5.440 eV per atom
Density of states at the Fermi level: 3.42 states/eV/cell

***

Please write out number 2 again, unchanged.
Crystalline K5OsCl2O4 at its relaxed geometry. Source: Alexandria via LeMat-Bulk, functional PBE-GGA.

Geometry as POSCAR:
```
K5OsCl2O4
1.0
6.8758 0.0000 0.0000
-3.4379 4.9400 0.0000
0.0000 0.0000 8.4196
K Os Cl O
5 1 2 4
Direct
0.0944 0.3819 0.2021
0.4871 0.0000 0.5000
0.0944 0.3819 0.7979
0.7126 0.6181 0.7979
0.7126 0.6181 0.2021
0.4199 0.0000 0.0000
0.9541 0.5858 0.5000
0.3683 0.4142 0.5000
0.5718 0.0000 0.1763
0.5718 0.0000 0.8237
0.3369 0.2551 0.0000
0.0818 0.7449 0.0000
```

Output
Uncorrected formation energy: -1458 meV per atom
E_tot: -4.812 eV per atom
Density of states at the Fermi level: 0.26 states/eV/cell

***

Copy entry 2 word for word.
Crystalline K5OsCl2O4 at its relaxed geometry. Source: Alexandria via LeMat-Bulk, functional PBE-GGA.

Geometry as POSCAR:
```
K5OsCl2O4
1.0
6.8758 0.0000 0.0000
-3.4379 4.9400 0.0000
0.0000 0.0000 8.4196
K Os Cl O
5 1 2 4
Direct
0.0944 0.3819 0.2021
0.4871 0.0000 0.5000
0.0944 0.3819 0.7979
0.7126 0.6181 0.7979
0.7126 0.6181 0.2021
0.4199 0.0000 0.0000
0.9541 0.5858 0.5000
0.3683 0.4142 0.5000
0.5718 0.0000 0.1763
0.5718 0.0000 0.8237
0.3369 0.2551 0.0000
0.0818 0.7449 0.0000
```

Output
Uncorrected formation energy: -1458 meV per atom
E_tot: -4.812 eV per atom
Density of states at the Fermi level: 0.26 states/eV/cell

***

Please write out number 2 again, unchanged.
Crystalline K5OsCl2O4 at its relaxed geometry. Source: Alexandria via LeMat-Bulk, functional PBE-GGA.

Geometry as POSCAR:
```
K5OsCl2O4
1.0
6.8758 0.0000 0.0000
-3.4379 4.9400 0.0000
0.0000 0.0000 8.4196
K Os Cl O
5 1 2 4
Direct
0.0944 0.3819 0.2021
0.4871 0.0000 0.5000
0.0944 0.3819 0.7979
0.7126 0.6181 0.7979
0.7126 0.6181 0.2021
0.4199 0.0000 0.0000
0.9541 0.5858 0.5000
0.3683 0.4142 0.5000
0.5718 0.0000 0.1763
0.5718 0.0000 0.8237
0.3369 0.2551 0.0000
0.0818 0.7449 0.0000
```

Output
Uncorrected formation energy: -1458 meV per atom
E_tot: -4.812 eV per atom
Density of states at the Fermi level: 0.26 states/eV/cell

***

Among the records above, which one has the highest E_tot? K5OsCl2O4